No. 1
The following is a SCAN calculation of a crystal of MnOs3 relaxed with PBEsol, from Alexandria.

Computed properties:
As for the density of states at the Fermi level: 0.74 states/eV/atom. As for the space-group type: Imm2, No. 44. The calculated formation energy is 22.2 meV per atom.

a = 2.6939 Å, b = 4.6337 Å, c = 4.9995 Å
α = 117.61°, β = 105.63°, γ = 90.00°
Element x y z (fractional)
Os 0.2537 0.9187 0.5075
Os 0.7463 0.4113 0.4925
Os 0.5000 0.5046 0.0000
Mn 0.0000 0.9988 0.0000

---

No. 2
The following is a SCAN calculation of a crystal of TePN2 relaxed with PBEsol, from Alexandria.

Computed properties:
As for the density of states at the Fermi level: 0.29 states/eV/atom. As for the space-group type: R-3m, No. 166. Its formation energy (no corrections) is 1.044 eV per atom.

a = 3.2036 Å, b = 3.2036 Å, c = 6.6750 Å
α = 76.12°, β = 76.12°, γ = 60.00°
Element x y z (fractional)
N 0.0862 0.0862 0.7414
Te 0.5000 0.5000 0.5000
P 0.0000 0.0000 0.0000
N 0.9138 0.9138 0.2586

---

No. 3
The following is a SCAN calculation of a crystal of RbCuSbRu2 relaxed with PBEsol, from Alexandria.

Computed properties:
As for the density of states at the Fermi level: 0.85 states/eV/atom. As for the space-group type: P4/mmm, No. 123. Its formation energy (no corrections) is 1.512 eV per atom.

a = 4.6459 Å, b = 4.6459 Å, c = 5.0308 Å
α = 90.00°, β = 90.00°, γ = 90.00°
Last column: magnetic moment on the atom in μB.
Element x y z (fractional)
Ru 0.0000 0.5000 0.0000  1.55
Sb 0.5000 0.5000 0.5000  -0.14
Rb 0.0000 0.0000 0.5000  -0.03
Ru 0.5000 0.0000 0.0000  1.55
Cu 0.0000 0.0000 0.0000  0.22

---

No. 4
The following is a SCAN calculation of a crystal of KLaZr2 relaxed with PBEsol, from Alexandria.

Computed properties:
The calculation puts the energy above the most stable polymorph in this dataset at 0.5455 eV/atom. As for the density of states at the Fermi level: 1.48 states/eV/atom. As for the space-group type: P4/mmm, No. 123. The calculated formation energy is 874.7 meV per atom.

a = 4.5217 Å, b = 4.5217 Å, c = 5.3735 Å
α = 90.00°, β = 90.00°, γ = 90.00°
Last column: magnetic moment on the atom in μB.
Element x y z (fractional)
Zr 0.0000 0.5000 0.0000  0.27
K 0.5000 0.5000 0.5000  0.01
La 0.0000 0.0000 0.5000  0.08
Zr 0.5000 0.0000 0.0000  0.27

---

No. 5
The following is a SCAN calculation of a crystal of SrIn2Rh relaxed with PBEsol, from Alexandria.

Computed properties:
As for the density of states at the Fermi level: 0.49 states/eV/atom. As for the space-group type: Cmcm, No. 63. The calculated formation energy is -602.9 meV per atom.

a = 4.3357 Å, b = 5.7914 Å, c = 7.9564 Å
α = 90.00°, β = 90.00°, γ = 111.98°
Element x y z (fractional)
In 0.6535 0.3069 0.4466
Sr 0.0608 0.1215 0.7500
In 0.3465 0.6931 0.9466
In 0.6535 0.3069 0.0534
Rh 0.7823 0.5646 0.7500
Sr 0.9392 0.8785 0.2500
In 0.3465 0.6931 0.5534
Rh 0.2177 0.4354 0.2500

---

No. 6
The following is a SCAN calculation of a crystal of CoAg2Cl relaxed with PBEsol, from Alexandria.

Computed properties:
As for the density of states at the Fermi level: 0.12 states/eV/atom. As for the space-group type: Fm-3m, No. 225. Its formation energy (no corrections) is 0.423 eV per atom.

a = 4.5321 Å, b = 4.5321 Å, c = 4.5321 Å
α = 60.00°, β = 60.00°, γ = 60.00°
Last column: magnetic moment on the atom in μB.
Element x y z (fractional)
Cl 0.0000 0.0000 0.0000  0.02
Ag 0.7500 0.7500 0.7500  -0.01
Co 0.5000 0.5000 0.5000  1.98
Ag 0.2500 0.2500 0.2500  -0.01

---

No. 7
The following is a SCAN calculation of a crystal of Sc2AgRh relaxed with PBEsol, from Alexandria.

Computed properties:
As for the density of states at the Fermi level: 0.62 states/eV/atom. As for the space-group type: Imm2, No. 44. The calculated formation energy is -542.8 meV per atom.

a = 3.5434 Å, b = 4.3115 Å, c = 5.4138 Å
α = 113.47°, β = 109.10°, γ = 90.00°
Element x y z (fractional)
Rh 0.2612 0.7612 0.5224
Ag 0.5104 0.5104 0.0207
Sc 0.7486 0.2486 0.4973
Sc 0.9798 0.9798 0.9596

---

No. 8
The following is a SCAN calculation of a crystal of TcRuC2 relaxed with PBEsol, from Alexandria.

Computed properties:
As for the density of states at the Fermi level: 0.49 states/eV/atom. As for the space-group type: Fm-3m, No. 225. The calculated formation energy is 1076.8 meV per atom.

a = 3.7267 Å, b = 3.7267 Å, c = 3.7267 Å
α = 60.00°, β = 60.00°, γ = 60.00°
Element x y z (fractional)
C 0.2500 0.2500 0.2500
Tc 0.0000 0.0000 0.0000
Ru 0.5000 0.5000 0.5000
C 0.7500 0.7500 0.7500